(1)
VASP calculation (PBE) on an optimized crystal structure of Nd2Tm2Hg3.

Summary:
For the calculated formation energy, the calculation gives -0.32 eV/atom. The calculation puts the size of the total moment at 0.101 μB per atom.

Lattice parameters (Å, degrees): 5.1901 5.1901 25.8879 90.00 90.00 120.00
Last column: nearest neighbours and their distance in Å.
Space group R-3m (No. 166, hexagonal axes)
Symmetry-distinct sites (fractional):
Nd  0.0000  0.0000  0.1272 [6 per cell]  5 Hg 3.24-3.29
Tm  0.0000  0.0000  0.3762 [6 per cell]  7 Hg 3.14-3.20
Hg  0.0000  0.0000  0.0000 [3 per cell]  6 Tm 3.20, 2 Nd 3.29
Hg  0.0000  0.0000  0.2536 [6 per cell]  4 Tm 3.14-3.18, 4 Nd 3.24-3.27

***

(2)
VASP calculation (PBE) on an optimized crystal structure of BeRuBr.

Summary:
For the energy above the most stable polymorph in this dataset, the calculation gives 140 meV/atom. The calculation puts the size of the total moment at 0.297 μB per atom. The uncorrected formation energy is 183 kJ/mol of formula units.

Lattice parameters (Å, degrees): 3.1399 5.2565 11.4663 90.00 90.00 90.00
Last column: nearest neighbours and their distance in Å.
Space group Fmm2 (No. 42)
Symmetry-distinct sites (fractional):
Be  0.0000  0.0000  0.0000 [4 per cell]  2 Ru 2.26, 2 Br 2.28
Ru  0.0000  0.0000  0.3587 [4 per cell]  2 Be 2.26
Br  0.0000  0.0000  0.6445 [4 per cell]  2 Be 2.28

***

(3)
VASP calculation (PBE) on an optimized crystal structure of Pr2GaRh.

Summary:
For the calculated formation energy, the calculation gives -0.63 eV/atom. The calculation puts the size of the total moment at 0.000 μB per atom.

Lattice parameters (Å, degrees): 6.1804 3.9850 8.7145 90.00 108.97 90.00
Last column: nearest neighbours and their distance in Å.
Space group P2_1/m (No. 11)
Symmetry-distinct sites (fractional):
Pr  0.1946  0.2500  0.4106 [2 per cell]  2 Rh 2.93, 3 Ga 3.19-3.20
Pr  0.2770  0.7500  0.0563 [2 per cell]  3 Rh 2.96-3.13, 3 Ga 3.18-3.21
Ga  0.3523  0.7500  0.7127 [2 per cell]  2 Rh 2.68
Rh  0.1171  0.2500  0.7917 [2 per cell]  2 Ga 2.68, 4 Pr 2.93-2.96

***

(4)
VASP calculation (PBE) on an optimized crystal structure of Sr2RePt.

Summary:
For the calculated formation energy, the calculation gives 0.70 eV/atom. For the energy above the most stable polymorph in this dataset, the calculation gives 583 meV/atom. The calculation puts the size of the total moment at 0.717 μB per atom.

Lattice parameters (Å, degrees): 4.4626 4.4626 10.0011 90.00 90.00 90.00
Last column: nearest neighbours and their distance in Å.
Space group I-4m2 (No. 119)
Symmetry-distinct sites (fractional):
Sr  0.0000  0.0000  0.0000 [2 per cell]  4 Re 3.16, 4 Pt 3.35, 4 Sr 3.35
Sr  0.0000  0.5000  0.2500 [2 per cell]  4 Pt 3.16, 4 Sr 3.35, 4 Re 3.35
Re  0.0000  0.0000  0.5000 [2 per cell]  8 Sr 3.16-3.35, 4 Pt 3.35
Pt  0.0000  0.5000  0.7500 [2 per cell]  8 Sr 3.16-3.35, 4 Re 3.35

***

(5)
VASP calculation (PBE) on an optimized crystal structure of BaPO2F.

Summary:
The calculation puts the size of the total moment at 0.061 μB per atom. The uncorrected formation energy is -256 kJ/mol of formula units.

Lattice parameters (Å, degrees): 4.8266 4.8266 3.5896 90.00 90.00 90.00
Last column: nearest neighbours and their distance in Å.
Space group P4/mmm (No. 123)
Symmetry-distinct sites (fractional):
Ba  0.0000  0.0000  0.0000 [1 per cell]  8 O 3.01
P  0.5000  0.5000  0.0000 [1 per cell]  2 F 1.79
O  0.0000  0.5000  0.5000 [2 per cell]  2 F 2.41
F  0.5000  0.5000  0.5000 [1 per cell]  2 P 1.79

***

(6)
VASP calculation (PBE) on an optimized crystal structure of AlTc2Os.

Summary:
For the calculated formation energy, the calculation gives 0.00 eV/atom. The calculation puts the size of the total moment at 0.000 μB per atom.

Lattice parameters (Å, degrees): 4.4683 4.4683 2.8929 90.00 90.00 90.00
Last column: nearest neighbours and their distance in Å.
Space group P4/mmm (No. 123)
Symmetry-distinct sites (fractional):
Al  0.0000  0.0000  0.0000 [1 per cell]  8 Tc 2.66, 2 Al 2.89
Tc  0.0000  0.5000  0.5000 [2 per cell]  4 Os 2.66, 4 Al 2.66, 2 Tc 2.89
Os  0.5000  0.5000  0.0000 [1 per cell]  8 Tc 2.66, 2 Os 2.89

***

(7)
VASP calculation (PBE) on an optimized crystal structure of BeGa2P.

Summary:
For the calculated formation energy, the calculation gives 0.30 eV/atom. For the energy above the most stable polymorph in this dataset, the calculation gives 0 meV/atom. The calculation puts the size of the total moment at 0.000 μB per atom.

Lattice parameters (Å, degrees): 5.7488 5.7488 9.6688 90.00 90.00 90.00
Last column: nearest neighbours and their distance in Å.
Space group I-42d (No. 122)
Symmetry-distinct sites (fractional):
Be  0.0000  0.0000  0.0000 [4 per cell]  4 Ga 2.35
Ga  0.2459  0.2500  0.1250 [8 per cell]  2 Be 2.35, 2 P 2.38
P  0.0000  0.0000  0.5000 [4 per cell]  4 Ga 2.38

***

(8)
VASP calculation (PBE) on an optimized crystal structure of PuCl5.

Summary:
For the energy above the most stable polymorph in this dataset, the calculation gives 204 meV/atom. The calculation puts the size of the total moment at 0.501 μB per atom. The uncorrected formation energy is -679 kJ/mol of formula units.

Lattice parameters (Å, degrees): 9.3309 4.0208 8.9076 90.00 90.00 90.00
Last column: nearest neighbours and their distance in Å.
Space group Pmma (No. 51)
Symmetry-distinct sites (fractional):
Pu  0.2500  0.0000  0.2184 [2 per cell]  5 Cl 2.53-2.72
Cl  0.0000  0.0000  0.0000 [2 per cell]  2 Pu 3.04, 8 Cl 3.08-3.31
Cl  0.0644  0.5000  0.2876 [4 per cell]  2 Pu 2.72
Cl  0.2500  0.0000  0.5022 [2 per cell]  1 Pu 2.53
Cl  0.2500  0.5000  0.9869 [2 per cell]  2 Pu 2.88, 6 Cl 3.08-3.19

***

(9)
VASP calculation (PBE) on an optimized crystal structure of La4ZrTc.

Summary:
For the calculated formation energy, the calculation gives 0.90 eV/atom. The calculation puts the size of the total moment at 0.046 μB per atom.

Lattice parameters (Å, degrees): 8.8669 8.8669 8.8669 90.00 90.00 90.00
Last column: nearest neighbours and their distance in Å.
Space group F-43m (No. 216)
Symmetry-distinct sites (fractional):
La  0.1238  0.1238  0.1238 [16 per cell]  6 La 3.11-3.16
Zr  0.0000  0.0000  0.5000 [4 per cell]  12 La 3.68, 4 Tc 3.84
Tc  0.2500  0.2500  0.7500 [4 per cell]  12 La 3.67, 4 Zr 3.84

***

(10)
VASP calculation (PBE) on an optimized crystal structure of Dy5Ho2Er5.

Summary:
For the calculated formation energy, the calculation gives 0.02 eV/atom. The calculation puts the size of the total moment at 0.000 μB per atom.

Lattice parameters (Å, degrees): 14.9133 4.9659 11.1224 90.00 116.55 90.00
Last column: nearest neighbours and their distance in Å.
Space group C2/m (No. 12)
Symmetry-distinct sites (fractional):
Dy  0.0000  0.0000  0.0000 [2 per cell]  4 Ho 3.51, 6 Er 3.51-3.52, 2 Dy 3.52
Dy  0.0836  0.0000  0.7502 [4 per cell]  7 Er 3.51-3.52, 3 Dy 3.52, 2 Ho 3.52
Dy  0.1664  0.0000  0.4997 [4 per cell]  5 Er 3.51-3.52, 3 Ho 3.52, 4 Dy 3.52
Ho  0.0833  0.5000  0.2496 [4 per cell]  5 Er 3.51-3.52, 7 Dy 3.51-3.52
Er  0.0000  0.5000  0.5000 [2 per cell]  8 Dy 3.51-3.52, 2 Er 3.52, 2 Ho 3.52
Er  0.1671  0.5000  0.0002 [4 per cell]  5 Er 3.51, 5 Dy 3.51-3.52, 2 Ho 3.51-3.52
Er  0.2498  0.0000  0.2495 [4 per cell]  4 Er 3.51-3.52, 2 Ho 3.51, 6 Dy 3.51-3.52

***

(11)
VASP calculation (PBE) on an optimized crystal structure of SrMoSe3.

Summary:
For the energy above the most stable polymorph in this dataset, the calculation gives 1515 meV/atom. The calculation puts the size of the total moment at 0.400 μB per atom. The uncorrected formation energy is 394 kJ/mol of formula units.

Lattice parameters (Å, degrees): 5.7137 5.7137 5.7137 90.00 90.00 90.00
Last column: nearest neighbours and their distance in Å.
Space group Pm-3m (No. 221)
Symmetry-distinct sites (fractional):
Sr  0.0000  0.0000  0.0000 [1 per cell]  6 Se 2.86
Mo  0.5000  0.5000  0.5000 [1 per cell]  12 Se 4.04
Se  0.0000  0.0000  0.5000 [3 per cell]  2 Sr 2.86

***

(12)
VASP calculation (PBE) on an optimized crystal structure of Hf2Sb2As.

Summary:
For the energy above the most stable polymorph in this dataset, the calculation gives 0 meV/atom. The calculation puts the size of the total moment at 0.000 μB per atom. The uncorrected formation energy is -204 kJ/mol of formula units.

Lattice parameters (Å, degrees): 7.5021 7.5021 3.9968 90.00 90.00 90.00
Last column: nearest neighbours and their distance in Å.
Space group P4/mbm (No. 127)
Symmetry-distinct sites (fractional):
Hf  0.1560  0.3440  0.0000 [4 per cell]  2 As 2.83, 6 Sb 2.90-3.02
Sb  0.1455  0.6455  0.5000 [4 per cell]  6 Hf 2.90-3.02, 1 Sb 3.09
As  0.0000  0.0000  0.0000 [2 per cell]  4 Hf 2.83

***

Volume
In order: 28.756 15.771 25.372 24.896 16.725 14.440 19.972 27.850 29.047 30.703 37.306 22.495
Unit: A^3/atom